# 1
The following is a DFT calculation (GGA-PBE) of an optimized crystal structure of RbPu2I6.

```
RbPu2I6
1.0
8.104 0.000 0.000
-4.052 7.019 0.000
0.000 0.000 8.091
Rb Pu I
1 2 6
Direct
0.000 0.000 0.000
0.333 0.667 0.500
0.667 0.333 0.500
0.000 0.374 0.730
0.000 0.626 0.270
0.374 0.000 0.730
0.374 0.374 0.270
0.626 0.000 0.270
0.626 0.626 0.730
```

## Properties
**Formation energy (no corrections)**: -1216.4 meV per atom

***

# 2
The following is a DFT calculation (GGA-PBE) of an optimized crystal structure of AsPCSe2.

```
AsPCSe2
1.0
4.389 0.000 0.000
0.000 4.389 0.000
0.000 0.000 4.344
As P C Se
1 1 1 2
Direct
0.000 0.000 0.000
0.500 0.500 0.000
0.000 0.000 0.500
0.000 0.500 0.500
0.500 0.000 0.500
```

## Properties
**Offset from the most stable computed form**: 0 kJ/mol of formula units
**Formation energy (no corrections)**: 1291.9 meV per atom

***

# 3
The following is a DFT calculation (GGA-PBE) of an optimized crystal structure of U2AsIr.

```
U2AsIr
1.0
3.037 0.000 0.000
-1.519 2.630 0.000
0.000 0.000 28.936
U As Ir
6 3 3
Direct
0.000 0.000 0.248
0.000 0.000 0.752
0.333 0.667 0.419
0.333 0.667 0.914
0.667 0.333 0.086
0.667 0.333 0.581
0.000 0.000 0.000
0.333 0.667 0.667
0.667 0.333 0.333
0.000 0.000 0.500
0.333 0.667 0.167
0.667 0.333 0.833
```

## Properties
**E_form**: -0.10 eV per atom

***

What did the third record say?
The following is a DFT calculation (GGA-PBE) of an optimized crystal structure of U2AsIr.

```
U2AsIr
1.0
3.037 0.000 0.000
-1.519 2.630 0.000
0.000 0.000 28.936
U As Ir
6 3 3
Direct
0.000 0.000 0.248
0.000 0.000 0.752
0.333 0.667 0.419
0.333 0.667 0.914
0.667 0.333 0.086
0.667 0.333 0.581
0.000 0.000 0.000
0.333 0.667 0.667
0.667 0.333 0.333
0.000 0.000 0.500
0.333 0.667 0.167
0.667 0.333 0.833
```

## Properties
**E_form**: -0.10 eV per atom

***

Repeat the second record exactly.
The following is a DFT calculation (GGA-PBE) of an optimized crystal structure of AsPCSe2.

```
AsPCSe2
1.0
4.389 0.000 0.000
0.000 4.389 0.000
0.000 0.000 4.344
As P C Se
1 1 1 2
Direct
0.000 0.000 0.000
0.500 0.500 0.000
0.000 0.000 0.500
0.000 0.500 0.500
0.500 0.000 0.500
```

## Properties
**Offset from the most stable computed form**: 0 kJ/mol of formula units
**Formation energy (no corrections)**: 1291.9 meV per atom